Below is an optimized crystal structure of OsRuC3, with properties calculated at the PBE level.

Results
magnetic moment	1.9	Bohr magnetons per cell
energy of formation	1307.3	kJ/mol of formula units
distance to the lowest polymorph of the same formula	0.486	eV per atom
Fermi-level density of states	5.091	states/eV/cell
crystal system	cubic
space group	Pm-3m (221)

Cell: 3.9290 3.9290 3.9290 Å, 90.00 90.00 90.00°
Last column: magnetic moment on the atom in μB.
Sites, in units of the cell vectors:
Ru1 0.0000 0.0000 0.0000  0.36
C1 0.0000 0.5000 0.0000  -0.08
C2 0.0000 0.0000 0.5000  -0.03
C3 0.5000 0.0000 0.0000  -0.06
Os1 0.5000 0.5000 0.5000  1.76

Below is an optimized crystal structure of Tm12Al3Tl, with properties calculated at the PBE level.

Results
magnetic moment	0.0	Bohr magnetons per cell
energy of formation	-291.2	kJ/mol of formula units
Fermi-level density of states	17.018	states/eV/cell
crystal system	tetragonal
space group	P4/mmm (123)

Cell: 4.7118 4.7118 18.9083 Å, 90.00 90.00 90.00°
Sites, in units of the cell vectors:
Tm1 0.5000 0.5000 0.0000
Tm2 0.5000 0.5000 0.2528
Tm3 0.5000 0.5000 0.5000
Tm4 0.5000 0.5000 0.7472
Tm5 0.5000 0.0000 0.1308
Tm6 0.5000 0.0000 0.3761
Tm7 0.5000 0.0000 0.6239
Tm8 0.5000 0.0000 0.8692
Tm9 0.0000 0.5000 0.1308
Tm10 0.0000 0.5000 0.3761
Tm11 0.0000 0.5000 0.6239
Tm12 0.0000 0.5000 0.8692
Al1 0.0000 0.0000 0.2521
Al2 0.0000 0.0000 0.5000
Al3 0.0000 0.0000 0.7479
Tl1 0.0000 0.0000 0.0000